# SrY3Ru | Alexandria | GGA-PBE | relaxed
data_SrY3Ru
_cell_length_a 6.411
_cell_length_b 8.291
_cell_length_c 6.411
_cell_angle_alpha 90.00
_cell_angle_beta 104.64
_cell_angle_gamma 90.00
_space_group_name_H-M_alt 'P 1'
_space_group_IT_number 1
_space_group_name_Hall 'P 1'
loop_
_atom_site_label
_atom_site_type_symbol
_atom_site_fract_x
_atom_site_fract_y
_atom_site_fract_z
Y1 Y 0.775 0.500 0.775
Y2 Y 0.274 0.250 0.726
Y3 Y 0.225 0.500 0.225
Y4 Y 0.775 0.000 0.775
Y5 Y 0.726 0.750 0.274
Y6 Y 0.225 0.000 0.225
Ru1 Ru 0.986 0.750 0.013
Ru2 Ru 0.014 0.250 0.987
Sr1 Sr 0.282 0.750 0.719
Sr2 Sr 0.718 0.250 0.281
# - Theoretical density: 4.6 g cm⁻³
# - V: 329.66 Å³ per cell
# - Energy above the lowest structure with this stoichiometry: 52.9 kJ/mol of formula units
# - Formation energy from the elements: -0.0670 eV per atom
# - N(E_F): 12.64 states/eV/cell
# - Space group: Cmcm